DFT (PBE) results for crystalline SrSe2BrN at its relaxed geometry.

* ΔE to the lowest computed polymorph: 486 meV/atom
* formation energy without anion corrections: 0.38 eV/atom
* crystal system: tetragonal
* calculated density: 4.63 g/cm3

The structure in CIF format:
```
data_SrSe2BrN
_chemical_formula_sum 'Sr1 Se2 Br1 N1'
_cell_length_a 5.4243
_cell_length_b 5.4243
_cell_length_c 4.1403
_cell_angle_alpha 90.00
_cell_angle_beta 90.00
_cell_angle_gamma 90.00
_space_group_name_H-M_alt 'P 4/m m m'
_space_group_IT_number 123
_space_group_name_Hall '-P 4 2'
loop_
_atom_site_label
_atom_site_type_symbol
_atom_site_fract_x
_atom_site_fract_y
_atom_site_fract_z
Sr1 Sr 0.0000 0.0000 0.0000
Se1 Se 0.0000 0.5000 0.5000
Br1 Br 0.5000 0.5000 0.5000
N1 N 0.5000 0.5000 0.0000
```